Entry 1:
A plane-wave DFT calculation with PBE-GGA was carried out for an optimized crystal structure of MgZr2.

The structure in POSCAR format:
```
MgZr2
1.0
1.5766 -8.1579 0.0000
1.5766 8.1579 0.0000
0.0000 0.0000 5.2806
Mg Zr
2 4
Cartesian
1.5766 6.4159 3.9605 Mg
1.5766 -6.4159 1.3202 Mg
1.5766 4.4647 1.3202 Zr
1.5766 1.0315 3.9605 Zr
1.5766 -1.0315 1.3202 Zr
1.5766 -4.4647 3.9605 Zr
```

**Final energy**: -6.166 eV per atom
**Energy of formation**: 64 meV/atom


Entry 2:
A plane-wave DFT calculation with PBE-GGA was carried out for an optimized crystal structure of MgZr5.

The structure in POSCAR format:
```
MgZr5
1.0
0.0000 4.1548 4.1548
4.1548 0.0000 4.1548
4.1548 4.1548 0.0000
Mg Zr
1 5
Cartesian
0.0000 0.0000 0.0000 Mg
5.1740 3.1355 3.1355 Zr
2.0774 2.0774 2.0774 Zr
3.1355 5.1740 3.1355 Zr
3.1355 3.1355 5.1740 Zr
5.1740 5.1740 5.1740 Zr
```

**Final energy**: -7.115 eV per atom
**Energy of formation**: 274 meV/atom


Entry 3:
A plane-wave DFT calculation with PBE-GGA was carried out for an optimized crystal structure of Mg2Zr.

The structure in POSCAR format:
```
Mg2Zr
1.0
-1.5600 1.5600 14.5648
1.5600 -1.5600 14.5648
1.5600 1.5600 -14.5648
Mg Zr
4 2
Cartesian
1.5600 0.7800 1.3724 Mg
1.5600 0.7800 5.9100 Mg
0.0000 0.7800 8.6549 Mg
0.0000 0.7800 13.1924 Mg
1.5600 -0.7800 10.9236 Zr
0.0000 2.3401 3.6412 Zr
```

**Final energy**: -3.796 eV per atom
**Energy of formation**: 116 meV/atom